(1)
DFT (PBE) results for an optimized crystal structure of Cs2FeHgBr6.

abc: 7.9137 7.9137 7.9137
angles: 119.34 119.34 91.15
With the nearest neighbours (Å) after each atom.
Fractional coordinates of all 10 atoms:
1 Cs 0.2500 0.7500 0.5000  12 Br 3.97-4.00
2 Br 0.2224 0.7776 0.0000  1 Fe 2.51
3 Br 0.2651 0.2651 0.0000  1 Hg 2.60
4 Hg 0.5000 0.5000 0.0000  2 Br 2.60
5 Br 0.7776 0.2224 0.0000  1 Fe 2.51
6 Br 0.7349 0.7349 0.0000  1 Hg 2.60
7 Cs 0.7500 0.2500 0.5000  12 Br 3.97-4.00
8 Fe 0.0000 0.0000 0.0000  4 Br 2.51
9 Br 0.2224 0.2224 0.4447  1 Fe 2.51
10 Br 0.7776 0.7776 0.5553  1 Fe 2.51

Output
M_tot, μB/cell: 4.00
Energy above the most stable polymorph in this dataset, eV/f.u.: 0.00

(2)
DFT (PBE) results for an optimized crystal structure of Cs2InFeBr6.

abc: 7.8549 7.8549 7.8549
angles: 60.00 60.00 60.00
With the nearest neighbours (Å) after each atom.
Fractional coordinates of all 10 atoms:
1 Br 0.2349 0.7651 0.7651  1 Fe 2.61
2 Br 0.2349 0.7651 0.2349  1 Fe 2.61
3 Cs 0.2500 0.2500 0.2500  12 Br 3.93
4 Br 0.7651 0.7651 0.2349  1 Fe 2.61
5 In 0.5000 0.5000 0.5000  6 Br 2.94
6 Br 0.7651 0.2349 0.7651  1 Fe 2.61
7 Br 0.2349 0.2349 0.7651  1 Fe 2.61
8 Fe 0.0000 0.0000 0.0000  6 Br 2.61
9 Cs 0.7500 0.7500 0.7500  12 Br 3.93
10 Br 0.7651 0.2349 0.2349  1 Fe 2.61

Output
M_tot, μB/cell: 3.74

(3)
DFT (PBE) results for an optimized crystal structure of Cs2FeNiBr6.

abc: 7.4388 7.4388 7.4388
angles: 60.00 60.00 60.00
With the nearest neighbours (Å) after each atom.
Fractional coordinates of all 10 atoms:
1 Br 0.7495 0.2505 0.7495  1 Ni 2.63, 1 Fe 2.63
2 Ni 0.5000 0.5000 0.5000  6 Br 2.63
3 Br 0.2505 0.2505 0.7495  1 Ni 2.63, 1 Fe 2.63
4 Cs 0.7500 0.7500 0.7500  12 Br 3.72
5 Br 0.7495 0.2505 0.2505  1 Ni 2.63, 1 Fe 2.63
6 Br 0.2505 0.7495 0.7495  1 Ni 2.63, 1 Fe 2.63
7 Br 0.2505 0.7495 0.2505  1 Ni 2.63, 1 Fe 2.63
8 Fe 0.0000 0.0000 0.0000  6 Br 2.63
9 Cs 0.2500 0.2500 0.2500  12 Br 3.72
10 Br 0.7495 0.7495 0.2505  1 Ni 2.63, 1 Fe 2.63

Output
M_tot, μB/cell: 4.72

(4)
DFT (PBE) results for an optimized crystal structure of Cs2FePdBr6.

abc: 7.5310 7.5310 7.5310
angles: 60.00 60.00 60.00
With the nearest neighbours (Å) after each atom.
Fractional coordinates of all 10 atoms:
1 Br 0.2444 0.7556 0.2444  1 Fe 2.60, 1 Pd 2.72
2 Br 0.2444 0.7556 0.7556  1 Fe 2.60, 1 Pd 2.72
3 Cs 0.2500 0.2500 0.2500  12 Br 3.77
4 Cs 0.7500 0.7500 0.7500  12 Br 3.77
5 Pd 0.5000 0.5000 0.5000  6 Br 2.72
6 Br 0.7556 0.2444 0.2444  1 Fe 2.60, 1 Pd 2.72
7 Br 0.7556 0.7556 0.2444  1 Fe 2.60, 1 Pd 2.72
8 Fe 0.0000 0.0000 0.0000  6 Br 2.60
9 Br 0.2444 0.2444 0.7556  1 Fe 2.60, 1 Pd 2.72
10 Br 0.7556 0.2444 0.7556  1 Fe 2.60, 1 Pd 2.72

Output
M_tot, μB/cell: 3.52

(5)
DFT (PBE) results for an optimized crystal structure of Cs2RbFeBr6.

abc: 8.2192 8.2192 8.2192
angles: 60.00 60.00 60.00
With the nearest neighbours (Å) after each atom.
Fractional coordinates of all 10 atoms:
1 Br 0.7797 0.2203 0.7797  1 Fe 2.56
2 Fe 0.0000 0.0000 0.0000  6 Br 2.56
3 Rb 0.5000 0.5000 0.5000  6 Br 3.25
4 Br 0.2203 0.7797 0.2203  1 Fe 2.56
5 Br 0.2203 0.2203 0.7797  1 Fe 2.56
6 Br 0.7797 0.2203 0.2203  1 Fe 2.56
7 Cs 0.7500 0.7500 0.7500  12 Br 4.12
8 Cs 0.2500 0.2500 0.2500  12 Br 4.12
9 Br 0.7797 0.7797 0.2203  1 Fe 2.56
10 Br 0.2203 0.7797 0.7797  1 Fe 2.56

Output
M_tot, μB/cell: 5.01

(6)
DFT (PBE) results for an optimized crystal structure of Cs2ScFeBr6.

abc: 7.6372 7.6372 7.6372
angles: 60.00 60.00 60.00
With the nearest neighbours (Å) after each atom.
Fractional coordinates of all 10 atoms:
1 Cs 0.7500 0.7500 0.7500  12 Br 3.82
2 Br 0.7504 0.2496 0.2496  1 Fe 2.70, 1 Sc 2.70
3 Br 0.2496 0.2496 0.7504  1 Fe 2.70, 1 Sc 2.70
4 Br 0.7504 0.2496 0.7504  1 Fe 2.70, 1 Sc 2.70
5 Sc 0.5000 0.5000 0.5000  6 Br 2.70
6 Br 0.2496 0.7504 0.2496  1 Fe 2.70, 1 Sc 2.70
7 Cs 0.2500 0.2500 0.2500  12 Br 3.82
8 Br 0.2496 0.7504 0.7504  1 Fe 2.70, 1 Sc 2.70
9 Fe 0.0000 0.0000 0.0000  6 Br 2.70
10 Br 0.7504 0.7504 0.2496  1 Fe 2.70, 1 Sc 2.70

Output
M_tot, μB/cell: 3.01

(7)
DFT (PBE) results for an optimized crystal structure of Cs2ZrFeBr6.

abc: 7.5853 7.5853 7.5853
angles: 60.00 60.00 60.00
With the nearest neighbours (Å) after each atom.
Fractional coordinates of all 10 atoms:
1 Fe 0.5000 0.5000 0.5000  6 Br 2.65
2 Cs 0.7500 0.7500 0.7500  12 Br 3.79
3 Zr 0.0000 0.0000 0.0000  6 Br 2.71
4 Br 0.7471 0.2529 0.7471  1 Fe 2.65, 1 Zr 2.71
5 Br 0.7471 0.2529 0.2529  1 Fe 2.65, 1 Zr 2.71
6 Br 0.2529 0.2529 0.7471  1 Fe 2.65, 1 Zr 2.71
7 Cs 0.2500 0.2500 0.2500  12 Br 3.79
8 Br 0.7471 0.7471 0.2529  1 Fe 2.65, 1 Zr 2.71
9 Br 0.2529 0.7471 0.2529  1 Fe 2.65, 1 Zr 2.71
10 Br 0.2529 0.7471 0.7471  1 Fe 2.65, 1 Zr 2.71

Output
M_tot, μB/cell: 3.85

(8)
DFT (PBE) results for an optimized crystal structure of Cs2NbGaBr6.

abc: 8.0248 8.0248 8.0248
angles: 60.00 60.00 60.00
With the nearest neighbours (Å) after each atom.
Fractional coordinates of all 10 atoms:
1 Ga 0.0000 0.0000 0.0000  6 Br 3.01
2 Cs 0.7500 0.7500 0.7500  12 Br 4.02
3 Br 0.2652 0.7348 0.2652  1 Nb 2.66
4 Br 0.7348 0.2652 0.7348  1 Nb 2.66
5 Cs 0.2500 0.2500 0.2500  12 Br 4.02
6 Br 0.2652 0.2652 0.7348  1 Nb 2.66
7 Br 0.7348 0.7348 0.2652  1 Nb 2.66
8 Br 0.2652 0.7348 0.7348  1 Nb 2.66
9 Nb 0.5000 0.5000 0.5000  6 Br 2.66
10 Br 0.7348 0.2652 0.2652  1 Nb 2.66

Output
M_tot, μB/cell: 2.00

(9)
DFT (PBE) results for an optimized crystal structure of Cs2GaNiBr6.

abc: 7.5462 7.5462 7.5462
angles: 60.00 60.00 60.00
With the nearest neighbours (Å) after each atom.
Fractional coordinates of all 10 atoms:
1 Ni 0.5000 0.5000 0.5000  6 Br 2.61
2 Br 0.2559 0.7441 0.2559  1 Ni 2.61, 1 Ga 2.73
3 Br 0.2559 0.7441 0.7441  1 Ni 2.61, 1 Ga 2.73
4 Br 0.7441 0.2559 0.2559  1 Ni 2.61, 1 Ga 2.73
5 Cs 0.2500 0.2500 0.2500  12 Br 3.77
6 Br 0.2559 0.2559 0.7441  1 Ni 2.61, 1 Ga 2.73
7 Br 0.7441 0.2559 0.7441  1 Ni 2.61, 1 Ga 2.73
8 Br 0.7441 0.7441 0.2559  1 Ni 2.61, 1 Ga 2.73
9 Cs 0.7500 0.7500 0.7500  12 Br 3.77
10 Ga 0.0000 0.0000 0.0000  6 Br 2.73

Output
M_tot, μB/cell: 1.16

(10)
DFT (PBE) results for an optimized crystal structure of Cs2Hg2H2I4Br2O.

abc: 7.5352 13.7749 9.0110
angles: 90.00 93.06 90.00
With the nearest neighbours (Å) after each atom.
Fractional coordinates of all 26 atoms:
1 I 0.4222 0.9510 0.4634  1 Hg 2.70
2 Cs 0.0927 0.3217 0.9473  1 O 3.26, 1 Br 3.62, 1 H 3.65
3 I 0.8758 0.5773 0.0718  1 Hg 2.76
4 I 0.4058 0.4643 0.2792  1 Hg 2.78
5 Hg 0.1864 0.0646 0.5962  2 I 2.69-2.70, 1 Br 3.00
6 I 0.8748 0.9055 0.2205  1 Hg 2.69
7 Hg 0.1864 0.9354 0.0962  2 I 2.69-2.70, 1 Br 3.00
8 I 0.8758 0.4227 0.5718  1 Hg 2.76
9 H 0.6234 0.3747 0.9867  1 O 0.98
10 Br 0.3959 0.2466 0.6578  1 H 2.69, 2 Hg 2.82-3.00
11 Hg 0.1843 0.6429 0.9534  2 I 2.76-2.78, 2 Br 2.78-2.82
12 Cs 0.0927 0.6783 0.4473  1 O 3.26, 1 Br 3.62, 1 H 3.65
13 Br 0.1156 0.1878 0.2935  1 Hg 2.78
14 I 0.4222 0.0490 0.9634  1 Hg 2.70
15 Br 0.1156 0.8122 0.7935  1 Hg 2.78
16 O 0.6662 0.6924 0.4905  2 H 0.98
17 Hg 0.1843 0.3571 0.4534  2 I 2.76-2.78, 2 Br 2.78-2.82
18 H 0.6116 0.7217 0.3999  1 O 0.98
19 Br 0.3959 0.7534 0.1578  1 H 2.69, 2 Hg 2.82-3.00
20 O 0.6662 0.3076 0.9905  2 H 0.98
21 H 0.6234 0.6253 0.4867  1 O 0.98
22 Cs 0.6400 0.1958 0.3133  1 O 3.31, 1 Br 3.60
23 H 0.6116 0.2783 0.8999  1 O 0.98
24 Cs 0.6400 0.8042 0.8133  1 O 3.31, 1 Br 3.60
25 I 0.8748 0.0945 0.7205  1 Hg 2.69
26 I 0.4058 0.5357 0.7792  1 Hg 2.78

Here are the calculated energy numbers, same order: -3.018; -3.352; -3.437; -3.442; -3.336; -3.972; -3.983; -3.640; -3.048; -2.726 (eV/atom).
Here are the calculated calculated volume numbers, same order: 353.9; 342.7; 291.1; 302.0; 392.6; 315.0; 308.6; 365.4; 303.9; 934.0 (Å³ per cell).